1.
In4SnBi | PBE | relaxed

Results
ΔE to the lowest computed polymorph	0.015	eV/atom
symmetry	P2_1/m (11)
crystal system	monoclinic

a b c (Å): 5.3393 6.9194 9.4235
angles (deg): 90.00 90.16 90.00
Sites, in units of the cell vectors:
1 In 0.0001 0.2500 0.0242
2 In 0.9999 0.7500 0.9758
3 In 0.0048 0.7500 0.3084
4 In 0.4956 0.0081 0.6722
5 In 0.4956 0.4919 0.6722
6 In 0.5044 0.5081 0.3278
7 In 0.5044 0.9919 0.3278
8 In 0.9952 0.2500 0.6916
9 Sn 0.5000 0.0000 0.0000
10 Sn 0.5000 0.5000 0.0000
11 Bi 0.0037 0.2500 0.3565
12 Bi 0.9963 0.7500 0.6435

---

2.
In4SnBi3 | PBE | relaxed

Results
symmetry	C2/m (12)
crystal system	monoclinic

a b c (Å): 13.4234 13.4234 3.4542
angles (deg): 96.04 96.04 23.92
Sites, in units of the cell vectors:
1 In 0.1027 0.1027 0.0819
2 In 0.2116 0.2116 0.7044
3 In 0.7884 0.7884 0.2956
4 In 0.8973 0.8973 0.9181
5 Sn 0.0000 0.0000 0.5000
6 Bi 0.3327 0.3327 0.8197
7 Bi 0.5000 0.5000 0.0000
8 Bi 0.6673 0.6673 0.1803

---

3.
In2SnBi | PBE | relaxed

Results
ΔE to the lowest computed polymorph	0.024	eV/atom
symmetry	P4/mmm (123)
crystal system	tetragonal

a b c (Å): 3.7052 3.7052 8.3269
angles (deg): 90.00 90.00 90.00
Sites, in units of the cell vectors:
1 In 0.0000 0.0000 0.2416
2 In 0.0000 0.0000 0.7584
3 Sn 0.5000 0.5000 0.0000
4 Bi 0.5000 0.5000 0.5000

---

4.
In3Sn3Bi | PBE | relaxed

Results
ΔE to the lowest computed polymorph	0.000	eV/atom
symmetry	P-1 (2)
crystal system	triclinic

a b c (Å): 6.1200 8.4028 8.7807
angles (deg): 113.07 92.48 98.12
Sites, in units of the cell vectors:
1 In 0.0912 0.4577 0.3120
2 In 0.2220 0.0369 0.9416
3 In 0.2819 0.8378 0.1887
4 In 0.7181 0.1622 0.8113
5 In 0.7780 0.9631 0.0584
6 In 0.9088 0.5423 0.6880
7 Sn 0.1888 0.8626 0.5622
8 Sn 0.2381 0.4172 0.9424
9 Sn 0.4441 0.6748 0.7707
10 Sn 0.5559 0.3252 0.2293
11 Sn 0.7619 0.5828 0.0576
12 Sn 0.8112 0.1374 0.4378
13 Bi 0.3346 0.2436 0.5417
14 Bi 0.6654 0.7564 0.4582

---

5.
In9SnBi2 | PBE | relaxed

Results
symmetry	P4/mmm (123)
crystal system	tetragonal

a b c (Å): 4.9626 4.9626 13.8288
angles (deg): 90.00 90.00 90.00
Sites, in units of the cell vectors:
1 In 0.0000 0.0000 0.0000
2 In 0.0000 0.0000 0.3306
3 In 0.0000 0.0000 0.6694
4 In 0.0000 0.5000 0.1614
5 In 0.0000 0.5000 0.5000
6 In 0.0000 0.5000 0.8386
7 In 0.5000 0.0000 0.1614
8 In 0.5000 0.0000 0.5000
9 In 0.5000 0.0000 0.8386
10 Sn 0.5000 0.5000 0.0000
11 Bi 0.5000 0.5000 0.3301
12 Bi 0.5000 0.5000 0.6699

---

6.
In3SnBi | PBE | relaxed

Results
ΔE to the lowest computed polymorph	0.010	eV/atom
symmetry	C2/m (12)
crystal system	monoclinic

a b c (Å): 6.2467 6.2467 10.7540
angles (deg): 94.49 94.49 43.27
Sites, in units of the cell vectors:
1 In 0.1532 0.1532 0.0506
2 In 0.2482 0.2482 0.7494
3 In 0.3444 0.3444 0.4424
4 In 0.6556 0.6556 0.5576
5 In 0.7518 0.7518 0.2506
6 In 0.8468 0.8468 0.9494
7 Sn 0.0544 0.0544 0.3643
8 Sn 0.9456 0.9456 0.6357
9 Bi 0.4605 0.4605 0.1587
10 Bi 0.5395 0.5395 0.8413

---

VASP energy readings, ordered: -3.09 -3.24 -3.28 -3.39 -3.01 -3.19 eV/atom